{"formula": "Sr3CaNi2W2O12", "functional": "PBEsol", "state": "optimized geometry", "lattice": [[-3.906, -3.890, -0.129], [3.888, -3.870, -0.587], [0.454, -0.708, 7.743]], "species": ["O", "O", "O", "Ni", "Sr", "Sr", "Ca", "O", "O", "Ni", "W", "O", "O", "O", "O", "Sr", "O", "O", "W", "O"], "frac_coords": [[0.427, 0.502, 0.245], [0.730, 0.782, 0.477], [0.776, 0.292, 0.042], [0.500, 0.499, 0.499], [0.494, 0.976, 0.749], [0.504, 0.021, 0.251], [0.996, 0.535, 0.248], [0.717, 0.770, 0.026], [0.216, 0.728, 0.530], [0.000, 0.001, 0.001], [0.498, 0.499, 0.003], [0.231, 0.717, 0.970], [0.275, 0.213, 0.522], [0.552, 0.494, 0.758], [0.946, 0.017, 0.742], [0.002, 0.480, 0.750], [0.052, 0.971, 0.255], [0.288, 0.225, 0.976], [0.002, 0.000, 0.497], [0.796, 0.278, 0.458]], "energy_ev_per_atom": -7.86, "volume_a3_per_atom": 11.85, "rho_g_cm3": 6.868}